PPdO2F: relaxed, PBE.

Output
Total magnetic moment (μB per cell): 0.63
Formation energy (no corrections) (eV/f.u.): -2.8
SG: P4/mmm (123)
V (Å³/f.u.): 64.8

Structure (POSCAR):
```
PPdO2F
1.0
3.346 0.000 0.000
0.000 3.346 0.000
0.000 0.000 5.784
P Pd O F
1 1 2 1
Direct
0.000 0.000 0.000
0.500 0.500 0.500
0.000 0.500 0.000
0.500 0.000 0.000
0.000 0.000 0.500
```